P | # Ni2PN, relaxed, DFT GGA-PBE
data_Ni2PN
_chemical_formula_sum 'Ni4 P2 N2'
_cell_length_a 4.517
_cell_length_b 4.517
_cell_length_c 5.857
_cell_angle_alpha 67.32
_cell_angle_beta 67.32
_cell_angle_gamma 90.00
_space_group_name_H-M_alt 'P 1'
_space_group_IT_number 1
_space_group_name_Hall 'P 1'
loop_
_atom_site_label
_atom_site_type_symbol
_atom_site_fract_x
_atom_site_fract_y
_atom_site_fract_z
Ni1 Ni 0.548 0.125 0.250
Ni2 Ni 0.202 0.625 0.250
Ni3 Ni 0.375 0.452 0.750
Ni4 Ni 0.875 0.798 0.750
N1 N 0.500 0.500 0.000
N2 N 0.250 0.750 0.500
P1 P 0.000 0.000 0.000
P2 P 0.750 0.250 0.500
# space group: No. 122
# M_tot: 0.0 μB per cell


Q | # Ni2PN, relaxed, DFT GGA-PBE
data_Ni2PN
_chemical_formula_sum 'Ni2 P1 N1'
_cell_length_a 3.820
_cell_length_b 3.820
_cell_length_c 3.820
_cell_angle_alpha 60.00
_cell_angle_beta 60.00
_cell_angle_gamma 60.00
_space_group_name_H-M_alt 'P 1'
_space_group_IT_number 1
_space_group_name_Hall 'P 1'
loop_
_atom_site_label
_atom_site_type_symbol
_atom_site_fract_x
_atom_site_fract_y
_atom_site_fract_z
Ni1 Ni 0.250 0.250 0.250
Ni2 Ni 0.750 0.750 0.750
N1 N 0.000 0.000 0.000
P1 P 0.500 0.500 0.500
# space group: No. 225
# M_tot: 0.0 μB per cell


Most stable structure: P


P | # NiP3N, relaxed, DFT GGA-PBE
data_NiP3N
_chemical_formula_sum 'Ni1 P3 N1'
_cell_length_a 4.295
_cell_length_b 4.295
_cell_length_c 4.295
_cell_angle_alpha 90.00
_cell_angle_beta 90.00
_cell_angle_gamma 90.00
_space_group_name_H-M_alt 'P 1'
_space_group_IT_number 1
_space_group_name_Hall 'P 1'
loop_
_atom_site_label
_atom_site_type_symbol
_atom_site_fract_x
_atom_site_fract_y
_atom_site_fract_z
Ni1 Ni 0.000 0.000 0.000
N1 N 0.500 0.500 0.500
P1 P 0.000 0.500 0.000
P2 P 0.000 0.000 0.500
P3 P 0.500 0.000 0.000
# space group: No. 221
# M_tot: 0.0 μB per cell


Q | # NiP3N, relaxed, DFT GGA-PBE
data_NiP3N
_chemical_formula_sum 'Ni1 P3 N1'
_cell_length_a 3.968
_cell_length_b 3.968
_cell_length_c 3.968
_cell_angle_alpha 90.00
_cell_angle_beta 90.00
_cell_angle_gamma 90.00
_space_group_name_H-M_alt 'P 1'
_space_group_IT_number 1
_space_group_name_Hall 'P 1'
loop_
_atom_site_label
_atom_site_type_symbol
_atom_site_fract_x
_atom_site_fract_y
_atom_site_fract_z
Ni1 Ni 0.500 0.500 0.500
N1 N 0.000 0.000 0.000
P1 P 0.000 0.500 0.000
P2 P 0.000 0.000 0.500
P3 P 0.500 0.000 0.000
# space group: No. 221
# M_tot: 0.0 μB per cell


Most stable structure: Q


P | # NiP2SN, relaxed, DFT GGA-PBE
data_NiP2SN
_chemical_formula_sum 'Ni1 P2 S1 N1'
_cell_length_a 3.941
_cell_length_b 3.941
_cell_length_c 4.150
_cell_angle_alpha 90.00
_cell_angle_beta 90.00
_cell_angle_gamma 90.00
_space_group_name_H-M_alt 'P 1'
_space_group_IT_number 1
_space_group_name_Hall 'P 1'
loop_
_atom_site_label
_atom_site_type_symbol
_atom_site_fract_x
_atom_site_fract_y
_atom_site_fract_z
Ni1 Ni 0.500 0.500 0.500
S1 S 0.000 0.000 0.500
N1 N 0.000 0.000 0.000
P1 P 0.000 0.500 0.000
P2 P 0.500 0.000 0.000
# space group: No. 123
# M_tot: 0.0 μB per cell


Q | # NiP2SN, relaxed, DFT GGA-PBE
data_NiP2SN
_chemical_formula_sum 'Ni1 P2 S1 N1'
_cell_length_a 4.257
_cell_length_b 4.257
_cell_length_c 4.444
_cell_angle_alpha 90.00
_cell_angle_beta 90.00
_cell_angle_gamma 90.00
_space_group_name_H-M_alt 'P 1'
_space_group_IT_number 1
_space_group_name_Hall 'P 1'
loop_
_atom_site_label
_atom_site_type_symbol
_atom_site_fract_x
_atom_site_fract_y
_atom_site_fract_z
Ni1 Ni 0.000 0.000 0.000
S1 S 0.000 0.000 0.500
N1 N 0.500 0.500 0.500
P1 P 0.000 0.500 0.000
P2 P 0.500 0.000 0.000
# space group: No. 123
# M_tot: 0.0 μB per cell


Most stable structure: P


P | # NiPS2N, relaxed, DFT GGA-PBE
data_NiPS2N
_chemical_formula_sum 'Ni1 P1 S2 N1'
_cell_length_a 4.335
_cell_length_b 4.335
_cell_length_c 4.338
_cell_angle_alpha 90.00
_cell_angle_beta 90.00
_cell_angle_gamma 90.00
_space_group_name_H-M_alt 'P 1'
_space_group_IT_number 1
_space_group_name_Hall 'P 1'
loop_
_atom_site_label
_atom_site_type_symbol
_atom_site_fract_x
_atom_site_fract_y
_atom_site_fract_z
Ni1 Ni 0.000 0.000 0.000
S1 S 0.000 0.500 0.000
S2 S 0.500 0.000 0.000
N1 N 0.500 0.500 0.500
P1 P 0.000 0.000 0.500
# space group: No. 123
# M_tot: 0.0 μB per cell


Q | # NiPS2N, relaxed, DFT GGA-PBE
data_NiPS2N
_chemical_formula_sum 'Ni1 P1 S2 N1'
_cell_length_a 4.229
_cell_length_b 4.229
_cell_length_c 3.743
_cell_angle_alpha 90.00
_cell_angle_beta 90.00
_cell_angle_gamma 90.00
_space_group_name_H-M_alt 'P 1'
_space_group_IT_number 1
_space_group_name_Hall 'P 1'
loop_
_atom_site_label
_atom_site_type_symbol
_atom_site_fract_x
_atom_site_fract_y
_atom_site_fract_z
Ni1 Ni 0.500 0.500 0.500
S1 S 0.000 0.500 0.000
S2 S 0.500 0.000 0.000
N1 N 0.000 0.000 0.000
P1 P 0.000 0.000 0.500
# space group: No. 123
# M_tot: 0.6 μB per cell


Most stable structure: Q